PBE Pr3Sb3Mo2N12, relaxed; total DFT energy (no corrections) = -7.6226 eV per atom; symmetry = No. 230; total moment = 0.00 μB per formula unit
1.0
-6.540 6.540 6.540
6.540 -6.540 6.540
6.540 6.540 -6.540
Pr Mo N Sb
12 8 48 12
direct
0.125 0.375 0.750
0.375 0.750 0.125
0.375 0.125 0.250
0.750 0.125 0.375
0.250 0.375 0.125
0.750 0.625 0.875
0.250 0.875 0.625
0.875 0.750 0.625
0.625 0.875 0.750
0.625 0.250 0.875
0.125 0.250 0.375
0.875 0.625 0.250
0.500 0.000 0.000
0.000 0.500 0.500
0.500 0.000 0.500
0.000 0.000 0.500
0.000 0.000 0.000
0.000 0.500 0.000
0.500 0.500 0.500
0.500 0.500 0.000
0.411 0.827 0.524
0.589 0.916 0.113
0.024 0.197 0.113
0.173 0.476 0.589
0.697 0.673 0.084
0.387 0.584 0.911
0.673 0.089 0.976
0.327 0.916 0.303
0.303 0.476 0.387
0.584 0.911 0.387
0.084 0.887 0.411
0.827 0.524 0.411
0.084 0.697 0.673
0.524 0.613 0.697
0.976 0.673 0.089
0.476 0.387 0.303
0.673 0.084 0.697
0.416 0.827 0.803
0.916 0.113 0.589
0.089 0.613 0.416
0.327 0.911 0.024
0.113 0.589 0.916
0.613 0.697 0.524
0.303 0.327 0.916
0.584 0.173 0.197
0.911 0.024 0.327
0.613 0.416 0.089
0.697 0.524 0.613
0.589 0.173 0.476
0.916 0.303 0.327
0.387 0.303 0.476
0.827 0.803 0.416
0.911 0.387 0.584
0.803 0.416 0.827
0.024 0.327 0.911
0.976 0.803 0.887
0.089 0.976 0.673
0.887 0.411 0.084
0.197 0.113 0.024
0.803 0.887 0.976
0.411 0.084 0.887
0.416 0.089 0.613
0.197 0.584 0.173
0.476 0.589 0.173
0.887 0.976 0.803
0.113 0.024 0.197
0.524 0.411 0.827
0.173 0.197 0.584
0.375 0.250 0.625
0.750 0.875 0.125
0.625 0.750 0.375
0.875 0.250 0.125
0.125 0.750 0.875
0.875 0.125 0.750
0.625 0.375 0.250
0.375 0.625 0.750
0.250 0.125 0.875
0.750 0.375 0.625
0.125 0.875 0.250
0.250 0.625 0.375

PBE Pr3Ta3Mo2N12, relaxed; total DFT energy (no corrections) = -9.4281 eV per atom; symmetry = No. 230; total moment = 0.01 μB per formula unit
1.0
-6.520 6.520 6.520
6.520 -6.520 6.520
6.520 6.520 -6.520
N Mo Pr Ta
48 8 12 12
direct
0.323 0.919 0.305
0.887 0.404 0.081
0.823 0.805 0.419
0.323 0.904 0.018
0.518 0.613 0.695
0.081 0.887 0.404
0.177 0.195 0.581
0.177 0.482 0.596
0.982 0.805 0.887
0.613 0.419 0.096
0.081 0.695 0.677
0.018 0.195 0.113
0.195 0.113 0.018
0.919 0.305 0.323
0.113 0.596 0.919
0.096 0.982 0.677
0.518 0.404 0.823
0.982 0.677 0.096
0.096 0.613 0.419
0.018 0.323 0.904
0.596 0.177 0.482
0.695 0.518 0.613
0.113 0.018 0.195
0.404 0.081 0.887
0.419 0.096 0.613
0.904 0.387 0.581
0.919 0.113 0.596
0.195 0.581 0.177
0.695 0.677 0.081
0.581 0.904 0.387
0.387 0.581 0.904
0.677 0.081 0.695
0.887 0.982 0.805
0.613 0.695 0.518
0.805 0.887 0.982
0.305 0.482 0.387
0.305 0.323 0.919
0.482 0.596 0.177
0.404 0.823 0.518
0.904 0.018 0.323
0.482 0.387 0.305
0.677 0.096 0.982
0.823 0.518 0.404
0.805 0.419 0.823
0.419 0.823 0.805
0.581 0.177 0.195
0.596 0.919 0.113
0.387 0.305 0.482
0.500 0.500 0.500
0.500 0.000 0.000
0.000 0.000 0.500
0.500 0.500 0.000
0.500 0.000 0.500
0.000 0.500 0.000
0.000 0.500 0.500
0.000 0.000 0.000
0.625 0.875 0.750
0.125 0.250 0.375
0.125 0.375 0.750
0.375 0.750 0.125
0.875 0.750 0.625
0.750 0.125 0.375
0.750 0.625 0.875
0.250 0.375 0.125
0.625 0.250 0.875
0.375 0.125 0.250
0.875 0.625 0.250
0.250 0.875 0.625
0.750 0.375 0.625
0.375 0.250 0.625
0.250 0.125 0.875
0.125 0.875 0.250
0.875 0.125 0.750
0.125 0.750 0.875
0.375 0.625 0.750
0.250 0.625 0.375
0.625 0.375 0.250
0.625 0.750 0.375
0.750 0.875 0.125
0.875 0.250 0.125

PBE Pr3Mo2W3N12, relaxed; total DFT energy (no corrections) = -9.4530 eV per atom; symmetry = No. 230; total moment = 2.94 μB per formula unit
1.0
-6.492 6.492 6.492
6.492 -6.492 6.492
6.492 6.492 -6.492
Pr N W Mo
12 48 12 8
direct
0.375 0.125 0.250
0.750 0.625 0.875
0.375 0.750 0.125
0.625 0.250 0.875
0.625 0.875 0.750
0.875 0.750 0.625
0.250 0.875 0.625
0.125 0.375 0.750
0.875 0.625 0.250
0.750 0.125 0.375
0.125 0.250 0.375
0.250 0.375 0.125
0.917 0.113 0.599
0.804 0.887 0.986
0.986 0.682 0.099
0.804 0.417 0.818
0.083 0.887 0.401
0.986 0.804 0.887
0.417 0.099 0.613
0.014 0.196 0.113
0.613 0.417 0.099
0.486 0.599 0.182
0.486 0.387 0.304
0.099 0.986 0.682
0.887 0.986 0.804
0.682 0.083 0.696
0.901 0.014 0.318
0.417 0.818 0.804
0.196 0.113 0.014
0.514 0.401 0.818
0.014 0.318 0.901
0.304 0.486 0.387
0.083 0.696 0.682
0.818 0.514 0.401
0.901 0.387 0.583
0.514 0.613 0.696
0.387 0.304 0.486
0.696 0.514 0.613
0.599 0.917 0.113
0.113 0.014 0.196
0.182 0.486 0.599
0.401 0.083 0.887
0.099 0.613 0.417
0.599 0.182 0.486
0.613 0.696 0.514
0.583 0.182 0.196
0.583 0.901 0.387
0.682 0.099 0.986
0.696 0.682 0.083
0.318 0.901 0.014
0.401 0.818 0.514
0.196 0.583 0.182
0.818 0.804 0.417
0.182 0.196 0.583
0.318 0.917 0.304
0.113 0.599 0.917
0.917 0.304 0.318
0.887 0.401 0.083
0.387 0.583 0.901
0.304 0.318 0.917
0.375 0.625 0.750
0.750 0.375 0.625
0.875 0.250 0.125
0.125 0.750 0.875
0.375 0.250 0.625
0.125 0.875 0.250
0.625 0.750 0.375
0.250 0.625 0.375
0.250 0.125 0.875
0.625 0.375 0.250
0.875 0.125 0.750
0.750 0.875 0.125
0.000 0.500 0.500
0.500 0.000 0.000
0.000 0.000 0.500
0.500 0.500 0.000
0.000 0.000 0.000
0.500 0.000 0.500
0.000 0.500 0.000
0.500 0.500 0.500

PBE Mo3PtN, relaxed; total DFT energy (no corrections) = -9.6468 eV per atom; symmetry = No. 221; total moment = 0.00 μB per formula unit
1.0
4.104 0.000 0.000
0.000 4.104 0.000
0.000 0.000 4.104
Mo Pt N
3 1 1
direct
0.000 0.500 0.500
0.500 0.000 0.500
0.500 0.500 0.000
0.000 0.000 0.000
0.500 0.500 0.500

PBE Pu3MoN6, relaxed; total DFT energy (no corrections) = -11.3666 eV per atom; symmetry = No. 36; total moment = 12.02 μB per formula unit
1.0
-3.548 3.964 4.837
-0.320 -6.641 2.738
4.657 0.885 2.691
Pu N Mo
6 12 2
direct
0.302 0.092 0.968
0.092 0.302 0.468
0.397 0.603 0.940
0.908 0.698 0.968
0.603 0.397 0.440
0.698 0.908 0.468
0.423 0.893 0.686
0.330 0.355 0.209
0.355 0.330 0.709
0.670 0.645 0.709
0.107 0.577 0.686
0.954 0.046 0.153
0.046 0.954 0.653
0.789 0.211 0.657
0.645 0.670 0.209
0.577 0.107 0.186
0.211 0.789 0.157
0.893 0.423 0.186
0.804 0.196 0.010
0.196 0.804 0.510

PBE RbMo3N5, relaxed; total DFT energy (no corrections) = -7.8373 eV per atom; symmetry = No. 191; total moment = 0.00 μB per formula unit
1.0
5.159 0.000 0.000
-2.579 4.468 0.000
0.000 0.000 6.398
Mo N Rb
3 5 1
direct
0.000 0.500 0.500
0.500 0.000 0.500
0.500 0.500 0.500
0.333 0.667 0.283
0.333 0.667 0.717
0.667 0.333 0.717
0.667 0.333 0.283
0.000 0.000 0.500
0.000 0.000 0.000

PBE Rb2MoSeN4, relaxed; total DFT energy (no corrections) = -6.0315 eV per atom; symmetry = No. 82; total moment = 0.00 μB per formula unit
1.0
5.154 -1.373 2.460
-2.321 -5.294 1.041
0.024 1.957 -5.538
Mo Rb N Se
1 2 4 1
direct
0.500 0.500 0.000
0.250 0.750 0.500
0.000 0.000 0.000
0.741 0.864 0.346
0.136 0.483 0.877
0.606 0.259 0.123
0.517 0.394 0.654
0.750 0.250 0.500

PBE Rb2MoWN4, relaxed; total DFT energy (no corrections) = -7.7938 eV per atom; symmetry = No. 82; total moment = 0.01 μB per formula unit
1.0
2.275 -5.556 -0.834
-4.820 -2.489 2.705
-0.707 3.775 -4.689
N Rb W Mo
4 2 1 1
direct
0.193 0.374 0.319
0.054 0.873 0.681
0.626 0.946 0.819
0.127 0.807 0.181
0.750 0.250 0.500
0.500 0.500 0.000
0.000 0.000 0.000
0.250 0.750 0.500

PBE Re5Mo3N, relaxed; total DFT energy (no corrections) = -10.8356 eV per atom; symmetry = No. 189; total moment = 0.01 μB per formula unit
1.0
6.393 0.000 0.000
-3.197 5.537 0.000
0.000 0.000 3.771
Re Mo N
5 3 1
direct
0.000 0.243 0.000
0.757 0.757 0.000
0.243 0.000 0.000
0.667 0.333 0.000
0.333 0.667 0.000
0.399 0.399 0.500
0.601 0.000 0.500
0.000 0.601 0.500
0.000 0.000 0.500

PBE ReMo3N, relaxed; total DFT energy (no corrections) = -10.6837 eV per atom; symmetry = No. 221; total moment = 0.02 μB per formula unit
1.0
-2.805 1.250 -2.716
1.957 -2.048 -2.963
-2.260 -3.324 0.805
Mo Re N
3 1 1
direct
0.500 0.500 0.000
0.000 0.500 0.500
0.500 0.000 0.500
0.000 0.000 0.000
0.500 0.500 0.500